A.
BaPdAu2 after structural relaxation. Source: Alexandria, functional PBE-GGA.

abc: 5.776 5.776 10.125
angles: 73.43 73.43 60.00
Fractional coordinates of all 12 atoms:
Ba 0.858 0.858 0.425
Ba 0.142 0.142 0.575
Ba 0.000 0.000 0.000
Pd 0.668 0.668 0.997
Pd 0.332 0.332 0.003
Pd 0.500 0.500 0.500
Au 0.420 0.420 0.242
Au 0.919 0.420 0.242
Au 0.420 0.919 0.242
Au 0.580 0.580 0.758
Au 0.580 0.081 0.758
Au 0.081 0.580 0.758

Properties
symmetry	R-3m (166)
magnetic moment	0.00	μB/f.u.

B.
BaPdAu2 after structural relaxation. Source: Alexandria, functional PBE-GGA.

abc: 5.147 5.147 10.092
angles: 75.23 75.23 90.00
Fractional coordinates of all 8 atoms:
Au 0.389 0.125 0.250
Au 0.361 0.625 0.250
Au 0.375 0.611 0.750
Au 0.875 0.639 0.750
Ba 0.000 0.000 0.000
Ba 0.750 0.250 0.500
Pd 0.500 0.500 0.000
Pd 0.250 0.750 0.500

Properties
symmetry	I-42d (122)
magnetic moment	0.00	μB/f.u.

Stability summary: most stable A, least stable B.

A.
Ba4Pd2Au after structural relaxation. Source: Alexandria, functional PBE-GGA.

abc: 6.358 6.358 8.801
angles: 68.83 68.83 90.00
Fractional coordinates of all 7 atoms:
Au 0.000 0.000 0.000
Ba 0.782 0.782 0.435
Ba 0.218 0.218 0.565
Ba 0.000 0.500 0.000
Ba 0.500 0.000 0.000
Pd 0.588 0.588 0.824
Pd 0.412 0.412 0.176

Properties
symmetry	I4/mmm (139)
magnetic moment	0.00	μB/f.u.

B.
Ba4Pd2Au after structural relaxation. Source: Alexandria, functional PBE-GGA.

abc: 8.665 8.665 8.665
angles: 109.15 110.11 109.15
Fractional coordinates of all 14 atoms:
Ba 0.133 0.882 0.382
Ba 0.618 0.751 0.500
Ba 0.001 0.618 0.750
Ba 0.250 0.251 0.868
Ba 0.617 0.749 0.999
Ba 0.749 0.249 0.867
Ba 0.500 0.118 0.251
Ba 0.132 0.382 0.383
Pd 0.875 0.121 0.496
Pd 0.504 0.379 0.625
Pd 0.375 0.879 0.754
Pd 0.246 0.621 0.125
Au 0.000 0.000 0.000
Au 0.750 0.500 0.250

Properties
symmetry	I-42d (122)
magnetic moment	0.00	μB/f.u.

Stability summary: most stable B, least stable A.